Material: CoTcW2N
Method: DFT, PBE-GGA
State: relaxed

abc: 4.1028 4.1028 3.7910
angles: 90.00 90.00 90.00
Last column: nearest neighbours and their distance in Å.
Space group P4/mmm (No. 123)
Symmetry-distinct sites (fractional):
Co1 0.0000 0.0000 0.0000  2 N 1.90
Tc1 0.5000 0.5000 0.0000  8 W 2.79, 4 Co 2.90
W1 0.0000 0.5000 0.5000  2 N 2.05
N1 0.0000 0.0000 0.5000  2 Co 1.90, 4 W 2.05

Values from the calculation:
E_form (uncorrected) = -0.016 eV per atom



Material: ZnCoTc2N
Method: DFT, PBE-GGA
State: relaxed

abc: 4.0387 4.0387 3.7528
angles: 90.00 90.00 90.00
Last column: nearest neighbours and their distance in Å.
Space group P4/mmm (No. 123)
Symmetry-distinct sites (fractional):
Zn1 0.0000 0.0000 0.0000  8 Tc 2.76, 4 Co 2.86
Co1 0.5000 0.5000 0.0000  2 N 1.88
Tc1 0.0000 0.5000 0.5000  2 N 2.02
N1 0.5000 0.5000 0.5000  2 Co 1.88, 4 Tc 2.02

Values from the calculation:
E_form (uncorrected) = 0.014 eV per atom



Material: CoTeN
Method: DFT, PBE-GGA
State: relaxed

abc: 9.6345 3.6586 7.6784
angles: 90.00 95.34 90.00
Last column: nearest neighbours and their distance in Å.
Space group C2/m (No. 12)
Symmetry-distinct sites (fractional):
Co1 0.0843 0.0000 0.1162  2 N 1.78-1.80
Te1 0.2272 0.5000 0.2575  1 N 2.07
N1 0.1002 0.0000 0.8848  2 Co 1.78-1.80

Values from the calculation:
E_form (uncorrected) = 0.484 eV per atom



Material: CoTeN3
Method: DFT, PBE-GGA
State: relaxed

abc: 3.7391 3.7391 3.7391
angles: 90.00 90.00 90.00
Last column: nearest neighbours and their distance in Å.
Space group Pm-3m (No. 221)
Symmetry-distinct sites (fractional):
Co1 0.0000 0.0000 0.0000  6 N 1.87
Te1 0.5000 0.5000 0.5000  12 N 2.64
N1 0.0000 0.0000 0.5000  2 Co 1.87

Values from the calculation:
E_form (uncorrected) = 1.449 eV per atom



Material: Co3TeN
Method: DFT, PBE-GGA
State: relaxed

abc: 4.7748 4.7748 4.7748
angles: 90.00 90.00 90.00
Last column: nearest neighbours and their distance in Å.
Space group Pm-3m (No. 221)
Symmetry-distinct sites (fractional):
Co1 0.0000 0.0000 0.5000  2 Te 2.39
Te1 0.0000 0.0000 0.0000  6 Co 2.39
N1 0.5000 0.5000 0.5000  12 Co 3.38

Values from the calculation:
Energy relative to the lowest polymorph listed for this composition = 1.878 eV per atom
E_form (uncorrected) = 2.103 eV per atom



Material: CoTeN2
Method: DFT, PBE-GGA
State: relaxed

abc: 3.0647 3.0647 18.2783
angles: 90.00 90.00 120.00
Last column: nearest neighbours and their distance in Å.
Space group R-3m (No. 166, hexagonal axes)
Symmetry-distinct sites (fractional):
Co1 0.0000 0.0000 0.0000  6 N 1.97
Te1 0.0000 0.0000 0.5000  2 N 2.17
N1 0.0000 0.0000 0.3813  3 Co 1.97, 1 Te 2.17

Values from the calculation:
E_form (uncorrected) = 0.730 eV per atom



no.,raw total energy (eV per atom)
1,-10.36
2,-7.47
3,-5.71
4,-5.60
5,-4.45
6,-5.99